[1]
VASP calculation (PBE) on a geometry-optimized KHgSe2 structure.

## Properties
Raw formation energy = -48.9 kJ/mol of formula units
ΔE to the lowest computed polymorph = 0.315 eV per atom
Magnetization = 0.22 μB per formula unit
D(E_F) = 4.38 states/eV per cell

Lattice parameters (Å, degrees): 6.2412 6.2412 6.2412 138.91 138.91 59.51
With the nearest neighbours (Å) after each atom.
Fractional coordinates of all 4 atoms:
1 Hg 0.5000 0.5000 0.0000  4 Se 3.10
2 K 0.7500 0.2500 0.5000  4 Se 3.10
3 Se 0.0000 0.0000 0.0000  4 Hg 3.10
4 Se 0.2500 0.7500 0.5000  4 K 3.10

[2]
VASP calculation (PBE) on a geometry-optimized KHg3Se structure.

## Properties
Raw formation energy = 1.1 kJ/mol of formula units
ΔE to the lowest computed polymorph = 0.000 eV per atom
Magnetization = 0.00 μB per formula unit
D(E_F) = 4.16 states/eV per cell

Lattice parameters (Å, degrees): 5.6796 5.6796 5.6796 90.00 90.00 90.00
With the nearest neighbours (Å) after each atom.
Fractional coordinates of all 5 atoms:
1 K 0.5000 0.5000 0.5000  12 Hg 4.02
2 Hg 0.0000 0.5000 0.0000  2 Se 2.84
3 Hg 0.0000 0.0000 0.5000  2 Se 2.84
4 Hg 0.5000 0.0000 0.0000  2 Se 2.84
5 Se 0.0000 0.0000 0.0000  6 Hg 2.84

[3]
VASP calculation (PBE) on a geometry-optimized KSiHgSe3 structure.

## Properties
Raw formation energy = -338.7 kJ/mol of formula units
Magnetization = 0.00 μB per formula unit

Lattice parameters (Å, degrees): 7.2529 7.2529 8.1526 74.00 74.00 64.20
With the nearest neighbours (Å) after each atom.
Fractional coordinates of all 12 atoms:
1 K 0.6728 0.6728 0.7829  7 Se 3.39-3.80
2 K 0.3272 0.3272 0.2171  7 Se 3.39-3.80
3 Si 0.0007 0.0007 0.8542  3 Se 2.25-2.34, 1 Si 2.37
4 Si 0.9993 0.9993 0.1458  3 Se 2.25-2.34, 1 Si 2.37
5 Hg 0.2362 0.7638 0.5000  2 Se 2.54
6 Hg 0.7638 0.2362 0.5000  2 Se 2.54
7 Se 0.1736 0.1736 0.6464  1 Si 2.25
8 Se 0.1477 0.6509 0.8263  1 Si 2.34, 1 Hg 2.54
9 Se 0.6509 0.1477 0.8263  1 Si 2.34, 1 Hg 2.54
10 Se 0.3491 0.8523 0.1737  1 Si 2.34, 1 Hg 2.54
11 Se 0.8523 0.3491 0.1737  1 Si 2.34, 1 Hg 2.54
12 Se 0.8264 0.8264 0.3536  1 Si 2.25

[4]
VASP calculation (PBE) on a geometry-optimized K2SiHgSe4 structure.

## Properties
Raw formation energy = -369.4 kJ/mol of formula units
Magnetization = 0.00 μB per formula unit

Lattice parameters (Å, degrees): 8.5734 8.5734 9.3655 121.44 121.44 80.27
With the nearest neighbours (Å) after each atom.
Fractional coordinates of all 16 atoms:
1 K 0.5000 0.0000 0.0000  4 Se 3.09-3.14
2 K 0.5000 0.0000 0.5000  4 Se 3.09-3.14
3 K 0.0000 0.0000 0.5000  4 Se 3.30-3.31
4 K 0.5000 0.5000 0.0000  4 Se 3.30-3.31
5 Si 0.5000 0.5000 0.5000  2 Se 2.23
6 Si 0.0000 0.0000 0.0000  2 Se 2.23
7 Hg 0.0000 0.5000 0.0000  2 Se 2.58
8 Hg 0.0000 0.5000 0.5000  2 Se 2.58
9 Se 0.2148 0.8129 0.9909  1 Si 2.23
10 Se 0.6871 0.2852 0.5091  1 Si 2.23
11 Se 0.3129 0.7148 0.4909  1 Si 2.23
12 Se 0.7852 0.1871 0.0091  1 Si 2.23
13 Se 0.8444 0.7915 0.0291  1 Hg 2.58, 1 Si 2.60
14 Se 0.7085 0.6556 0.4709  1 Hg 2.58, 1 Si 2.60
15 Se 0.2915 0.3444 0.5291  1 Hg 2.58, 1 Si 2.60
16 Se 0.1556 0.2085 0.9709  1 Hg 2.58, 1 Si 2.60

[5]
VASP calculation (PBE) on a geometry-optimized K2SmHg2Se4 structure.

## Properties
Raw formation energy = -844.8 kJ/mol of formula units
Magnetization = 0.00 μB per formula unit
D(E_F) = 3.80 states/eV per cell

Lattice parameters (Å, degrees): 4.2468 8.3681 8.5532 113.09 104.37 90.00
With the nearest neighbours (Å) after each atom.
Fractional coordinates of all 9 atoms:
1 K 0.1258 0.5679 0.2515  7 Se 3.35-3.59, 1 Hg 3.54
2 K 0.8742 0.4321 0.7485  7 Se 3.35-3.59, 1 Hg 3.54
3 Sm 0.0000 0.0000 0.0000  6 Se 2.98
4 Hg 0.6903 0.0233 0.3807  3 Se 2.75-2.78, 2 Hg 3.03
5 Hg 0.3097 0.9767 0.6193  3 Se 2.75-2.78, 2 Hg 3.03
6 Se 0.1908 0.2378 0.3816  2 Hg 2.78, 1 Sm 2.98
7 Se 0.8092 0.7622 0.6185  2 Hg 2.78, 1 Sm 2.98
8 Se 0.5211 0.7703 0.0422  1 Hg 2.75, 2 Sm 2.98
9 Se 0.4789 0.2297 0.9578  1 Hg 2.75, 2 Sm 2.98

[6]
VASP calculation (PBE) on a geometry-optimized KSm2HgSe4 structure.

## Properties
Raw formation energy = -1013.4 kJ/mol of formula units
Magnetization = 0.00 μB per formula unit
D(E_F) = 6.70 states/eV per cell

Lattice parameters (Å, degrees): 4.3362 7.4873 15.2322 90.00 90.00 106.83
With the nearest neighbours (Å) after each atom.
Fractional coordinates of all 16 atoms:
1 K 0.1300 0.2600 0.7500  6 Se 3.29-3.47
2 K 0.8700 0.7400 0.2500  6 Se 3.29-3.47
3 Sm 0.3745 0.7490 0.5608  6 Se 2.94-3.11
4 Sm 0.6255 0.2510 0.0608  6 Se 2.94-3.11
5 Sm 0.6255 0.2510 0.4392  6 Se 2.94-3.11
6 Sm 0.3745 0.7490 0.9392  6 Se 2.94-3.11
7 Hg 0.8448 0.6895 0.7500  4 Se 2.70-2.75
8 Hg 0.1552 0.3105 0.2500  4 Se 2.70-2.75
9 Se 0.2650 0.5300 0.1023  1 Hg 2.75, 3 Sm 2.94-3.02
10 Se 0.7350 0.4700 0.6023  1 Hg 2.75, 3 Sm 2.94-3.02
11 Se 0.7350 0.4700 0.8977  1 Hg 2.75, 3 Sm 2.94-3.02
12 Se 0.2650 0.5300 0.3977  1 Hg 2.75, 3 Sm 2.94-3.02
13 Se 0.0000 0.0000 0.5000  4 Sm 2.97
14 Se 0.0000 0.0000 0.0000  4 Sm 2.97
15 Se 0.4570 0.9140 0.7500  2 Hg 2.70
16 Se 0.5430 0.0860 0.2500  2 Hg 2.70

[7]
VASP calculation (PBE) on a geometry-optimized KSnHgSe3 structure.

## Properties
Raw formation energy = -292.9 kJ/mol of formula units
Magnetization = 0.00 μB per formula unit
D(E_F) = 6.78 states/eV per cell

Lattice parameters (Å, degrees): 4.1744 9.0507 10.2100 104.15 90.00 90.00
With the nearest neighbours (Å) after each atom.
Fractional coordinates of all 12 atoms:
1 K 0.2500 0.2066 0.2534  7 Se 3.40-3.62
2 K 0.7500 0.7934 0.7466  7 Se 3.40-3.62
3 Sn 0.2500 0.6650 0.1173  5 Se 2.71-2.91
4 Sn 0.7500 0.3350 0.8827  5 Se 2.71-2.91
5 Hg 0.2500 0.0911 0.6199  4 Se 2.69-2.88
6 Hg 0.7500 0.9089 0.3801  4 Se 2.69-2.88
7 Se 0.7500 0.8847 0.1120  1 Hg 2.69, 2 Sn 2.89
8 Se 0.2500 0.1153 0.8880  1 Hg 2.69, 2 Sn 2.89
9 Se 0.2500 0.7756 0.4743  3 Hg 2.70-2.88
10 Se 0.7500 0.2244 0.5257  3 Hg 2.70-2.88
11 Se 0.7500 0.4552 0.1537  3 Sn 2.71-2.91
12 Se 0.2500 0.5448 0.8463  3 Sn 2.71-2.91

[8]
VASP calculation (PBE) on a geometry-optimized KSnHg2Se structure.

## Properties
Raw formation energy = -126.8 kJ/mol of formula units
Magnetization = 0.00 μB per formula unit
D(E_F) = 1.59 states/eV per cell

Lattice parameters (Å, degrees): 5.6451 5.6451 5.6568 90.00 90.00 90.00
With the nearest neighbours (Å) after each atom.
Fractional coordinates of all 5 atoms:
1 K 0.5000 0.5000 0.5000  4 Se 3.99, 8 Hg 4.00
2 Hg 0.0000 0.5000 0.0000  2 Sn 2.82
3 Hg 0.5000 0.0000 0.0000  2 Sn 2.82
4 Se 0.0000 0.0000 0.5000  2 Sn 2.83
5 Sn 0.0000 0.0000 0.0000  4 Hg 2.82, 2 Se 2.83

[9]
VASP calculation (PBE) on a geometry-optimized K2SrHgSe structure.

## Properties
Raw formation energy = -321.9 kJ/mol of formula units
Magnetization = 0.00 μB per formula unit
D(E_F) = 1.79 states/eV per cell

Lattice parameters (Å, degrees): 6.2920 5.9496 6.2920 90.00 90.00 90.00
With the nearest neighbours (Å) after each atom.
Fractional coordinates of all 5 atoms:
1 Sr 0.0000 0.5000 0.0000  2 Se 2.97
2 K 0.0000 0.0000 0.5000  2 Se 3.15
3 K 0.5000 0.0000 0.0000  2 Se 3.15
4 Hg 0.5000 0.5000 0.5000  8 K 4.33, 4 Sr 4.45
5 Se 0.0000 0.0000 0.0000  2 Sr 2.97, 4 K 3.15

[10]
VASP calculation (PBE) on a geometry-optimized K2SrHg2Se4 structure.

## Properties
Raw formation energy = -844.6 kJ/mol of formula units
Magnetization = 0.00 μB per formula unit

Lattice parameters (Å, degrees): 4.4203 8.0697 8.6583 108.20 104.79 90.00
With the nearest neighbours (Å) after each atom.
Fractional coordinates of all 9 atoms:
1 K 0.1245 0.5580 0.2489  7 Se 3.44-3.59
2 K 0.8755 0.4420 0.7511  7 Se 3.44-3.59
3 Sr 0.0000 0.0000 0.0000  6 Se 3.12-3.35
4 Hg 0.6668 0.9929 0.3336  3 Se 2.62-2.74
5 Hg 0.3332 0.0071 0.6664  3 Se 2.62-2.74
6 Se 0.2088 0.2035 0.4177  3 Hg 2.74-3.00
7 Se 0.7912 0.7965 0.5823  3 Hg 2.74-3.00
8 Se 0.5204 0.7439 0.0409  1 Hg 2.62
9 Se 0.4796 0.2561 0.9591  1 Hg 2.62

[11]
VASP calculation (PBE) on a geometry-optimized K2Hg2TeSe2 structure.

## Properties
Raw formation energy = -390.4 kJ/mol of formula units
Magnetization = 0.00 μB per formula unit
D(E_F) = 1.04 states/eV per cell

Lattice parameters (Å, degrees): 4.4379 7.4868 9.0988 60.21 89.99 72.72
With the nearest neighbours (Å) after each atom.
Fractional coordinates of all 7 atoms:
1 K 0.5423 0.9155 0.7493  2 Te 3.45, 4 Se 3.54-3.71
2 K 0.4577 0.0845 0.2507  2 Te 3.45, 4 Se 3.54-3.71
3 Hg 0.7934 0.4129 0.6891  3 Se 2.73-2.93, 1 Te 2.83
4 Hg 0.2066 0.5871 0.3109  3 Se 2.73-2.93, 1 Te 2.83
5 Te 0.0000 0.0000 0.0000  2 Hg 2.83
6 Se 0.8364 0.3281 0.4067  3 Hg 2.73-2.93
7 Se 0.1636 0.6719 0.5933  3 Hg 2.73-2.93

[12]
VASP calculation (PBE) on a geometry-optimized KHg2TeSe4 structure.

## Properties
Raw formation energy = -193.9 kJ/mol of formula units
Magnetization = 0.00 μB per formula unit
D(E_F) = 2.72 states/eV per cell

Lattice parameters (Å, degrees): 7.7532 7.1935 7.1935 70.29 57.39 57.39
With the nearest neighbours (Å) after each atom.
Fractional coordinates of all 8 atoms:
1 K 0.0000 0.0000 0.0000  4 Se 3.46
2 Hg 0.2125 0.2875 0.2875  2 Se 2.51
3 Hg 0.7875 0.7125 0.7125  2 Se 2.51
4 Te 0.5000 0.5000 0.5000  4 Se 2.78
5 Se 0.4714 0.1476 0.4613  1 Hg 2.51, 1 Te 2.78
6 Se 0.0803 0.8524 0.5387  1 Hg 2.51, 1 Te 2.78
7 Se 0.9197 0.4613 0.1476  1 Hg 2.51, 1 Te 2.78
8 Se 0.5286 0.5387 0.8524  1 Hg 2.51, 1 Te 2.78

Number 1: E_tot -2.2189 eV/atom. Number 2: E_tot -1.0953 eV/atom. Number 3: E_tot -3.4643 eV/atom. Number 4: E_tot -3.2108 eV/atom. Number 5: E_tot -3.3568 eV/atom. Number 6: E_tot -4.4099 eV/atom. Number 7: E_tot -3.1486 eV/atom. Number 8: E_tot -2.1006 eV/atom. Number 9: E_tot -2.1999 eV/atom. Number 10: E_tot -3.0191 eV/atom. Number 11: E_tot -2.4222 eV/atom. Number 12: E_tot -2.5988 eV/atom.